Entry from Alexandria: a PBEsol-optimized structure of InOs2Cl (SCAN).

Output
V: 15.41 A^3/atom
Energy: -45.33 eV per atom
Formation energy without anion corrections: 955 meV/atom

Cell lengths 2.9049, 2.9049, 8.6005 Å; angles 80.28, 80.28, 60.00 degrees
Last column: nearest neighbours and their distance in Å.
Fractional positions:
Os 0.2450 0.2450 0.2649  3 Cl 2.60, 3 In 2.79, 6 Os 2.90
Os 0.7550 0.7550 0.7351  3 Cl 2.60, 3 In 2.79, 6 Os 2.90
In 0.0000 0.0000 0.0000  6 Os 2.79, 6 In 2.90
Cl 0.5000 0.5000 0.5000  6 Os 2.60, 6 Cl 2.90


Entry from Alexandria: a PBEsol-optimized structure of TaSn2BIr (SCAN).

Output
V: 22.37 A^3/atom
Formation energy from the elements: 1.68 eV per atom
Energy: -41.71 eV per atom

Cell lengths 4.0989, 5.2238, 5.2238 Å; angles 90.00, 90.00, 90.00 degrees
Last column: nearest neighbours and their distance in Å.
Fractional positions:
Ta 0.0000 0.0000 0.0000  2 B 2.05
Sn 0.0000 0.5000 0.0000  2 Ta 2.61
Sn 0.0000 0.0000 0.5000  2 Ta 2.61
B 0.5000 0.0000 0.0000  2 Ta 2.05
Ir 0.5000 0.5000 0.5000  8 Sn 3.32, 4 B 3.69


Entry from Alexandria: a PBEsol-optimized structure of TaAs2Ir (SCAN).

Output
V: 15.81 A^3/atom
Formation energy from the elements: -0.18 eV per atom
Energy: -44.70 eV per atom

Cell lengths 3.3836, 4.4249, 4.7267 Å; angles 105.71, 110.97, 90.00 degrees
Last column: nearest neighbours and their distance in Å.
Fractional positions:
As 0.9976 0.9349 0.9952  3 Ta 2.53-2.62, 2 Ir 2.72
As 0.7549 0.3032 0.5097  3 Ir 2.59-2.63, 4 Ta 2.76-2.81
Ta 0.2605 0.8129 0.5210  7 As 2.53-2.81
Ir 0.4870 0.4490 0.9740  7 As 2.59-2.86


Entry from Alexandria: a PBEsol-optimized structure of RbCrGe2Ru (SCAN).

Output
V: 26.21 A^3/atom
Formation energy from the elements: 2.58 eV per atom
Energy: -19.85 eV per atom

Cell lengths 4.7806, 5.2353, 5.2353 Å; angles 90.00, 90.00, 90.00 degrees
Last column: nearest neighbours and their distance in Å.
Fractional positions:
Rb 0.0000 0.0000 0.0000  2 Cr 2.39, 4 Ge 2.62
Ru 0.5000 0.5000 0.5000  8 Ge 3.54, 4 Cr 3.70
Ge 0.0000 0.5000 0.0000  2 Rb 2.62
Ge 0.0000 0.0000 0.5000  2 Rb 2.62
Cr 0.5000 0.0000 0.0000  2 Rb 2.39


Entry from Alexandria: a PBEsol-optimized structure of PtPb2 (SCAN).

Output
V: 23.03 A^3/atom
Formation energy from the elements: -0.11 eV per atom
Energy: -74.03 eV per atom

Cell lengths 5.6850, 5.6850, 5.6850 Å; angles 104.73, 104.73, 119.44 degrees
Last column: nearest neighbours and their distance in Å.
Fractional positions:
Pt 0.7500 0.7500 0.0000  2 Pt 2.87, 8 Pb 2.98
Pt 0.2500 0.2500 0.0000  2 Pt 2.87, 8 Pb 2.98
Pb 0.8397 0.3397 0.1794  4 Pt 2.98, 1 Pb 3.15
Pb 0.1603 0.6603 0.8206  4 Pt 2.98, 1 Pb 3.15
Pb 0.6603 0.8397 0.5000  4 Pt 2.98, 1 Pb 3.15
Pb 0.3397 0.1603 0.5000  4 Pt 2.98, 1 Pb 3.15


Entry from Alexandria: a PBEsol-optimized structure of LaGe3I (SCAN).

Output
V: 29.69 A^3/atom
Energy: -26.75 eV per atom
Formation energy without anion corrections: 668 meV/atom

Cell lengths 5.2946, 5.2946, 5.2946 Å; angles 90.00, 90.00, 90.00 degrees
Last column: nearest neighbours and their distance in Å.
Fractional positions:
La 0.5000 0.5000 0.5000  12 Ge 3.74
I 0.0000 0.0000 0.0000  6 Ge 2.65
Ge 0.0000 0.0000 0.5000  2 I 2.65
Ge 0.5000 0.0000 0.0000  2 I 2.65
Ge 0.0000 0.5000 0.0000  2 I 2.65